## Fe2Re (PBE)

Data for a relaxed Fe2Re crystal.

It has space group Pnma (No. 62), with a = 5.134 Å, b = 3.635 Å, c = 7.668 Å, α = 90.00°, β = 90.00° and γ = 90.00°. The inequivalent atoms are Fe at (0.121, 0.250, 0.249), Fe at (0.125, 0.250, 0.919) and Re at (0.145, 0.250, 0.591).

The value obtained for the total energy is -9.70 eV/atom. The energy relative to the elements comes out at 93 meV per atom.